1.
! Ce3Hg | Alexandria via LeMat-Bulk | PBE | optimized geometry; values from VASP
! symmetry = No. 225
! crystal system = cubic
! DFT formation energy = -0.879 kcal/mol of atoms
! D(E_F) = 3.256 states/eV per atom
! calculated total energy = -18.26 eV for the cell shown
&SYSTEM
  ibrav = 0, nat = 4, ntyp = 2
/
ATOMIC_SPECIES
Ce 140.12 Ce.upf
Hg 200.59 Hg.upf
CELL_PARAMETERS angstrom
5.321 0.000 0.000
2.660 4.608 0.000
2.660 1.536 4.344
ATOMIC_POSITIONS angstrom
Ce 2.660 1.536 1.086
Hg 5.321 3.072 2.172
Ce 7.981 4.608 3.258
Ce 0.000 0.000 0.000

2.
! Ce3Hg2 | Alexandria via LeMat-Bulk | PBE | optimized geometry; values from VASP
! symmetry = No. 43
! crystal system = orthorhombic
! DFT formation energy = -4.230 kcal/mol of atoms
! D(E_F) = 2.302 states/eV per atom
! calculated total energy = -38.64 eV for the cell shown
&SYSTEM
  ibrav = 0, nat = 10, ntyp = 2
/
ATOMIC_SPECIES
Ce 140.12 Ce.upf
Hg 200.59 Hg.upf
CELL_PARAMETERS angstrom
-5.168 2.284 -0.368
-4.895 -4.135 -0.474
-3.228 0.982 7.868
ATOMIC_POSITIONS angstrom
Ce -6.340 -1.251 5.194
Ce -6.532 1.944 5.949
Ce -5.641 -0.197 1.925
Hg -10.795 -1.156 2.412
Hg -9.074 -0.093 6.624
Hg -3.841 0.882 4.518
Ce -8.033 -2.250 0.986
Ce -5.132 2.268 -0.365
Hg -2.978 -1.323 0.490
Ce -7.901 0.121 3.424

3.
! Ce7Hg3 | Alexandria via LeMat-Bulk | PBE | optimized geometry; values from VASP
! symmetry = No. 12
! crystal system = monoclinic
! DFT formation energy = -3.232 kcal/mol of atoms
! D(E_F) = 2.749 states/eV per atom
! calculated total energy = -43.84 eV for the cell shown
&SYSTEM
  ibrav = 0, nat = 10, ntyp = 2
/
ATOMIC_SPECIES
Ce 140.12 Ce.upf
Hg 200.59 Hg.upf
CELL_PARAMETERS angstrom
4.266 0.000 0.000
0.000 6.908 0.346
-2.133 -1.878 8.667
ATOMIC_POSITIONS angstrom
Ce 2.133 2.035 1.604
Hg 0.000 3.362 3.767
Ce 2.133 5.149 5.691
Ce 0.000 2.995 7.409
Ce 2.133 5.473 2.345
Ce 0.000 -0.443 6.668
Ce 0.000 -0.119 3.322
Ce 0.000 3.454 0.173
Hg 2.133 1.668 5.246
Hg 0.000 0.000 0.000

D(E_F) of number 1 (Ce3Hg)? 3.256 states/eV per atom

The lowest DFT formation energy belongs to which entry? Ce3Hg2

The highest DFT formation energy belongs to which entry? Ce3Hg